Compound: Cd2Te
Source: Alexandria
Functional: SCAN
Structure: PBEsol geometry

Computed properties:
* ΔE_f (raw): 0.165 eV/atom
* offset from the most stable computed form: 0.292 eV/atom

a = 4.1334 Å, b = 4.1334 Å, c = 5.8744 Å
α = 90.00°, β = 90.00°, γ = 90.00°
With the nearest neighbours (Å) after each atom.
Fractional coordinates of all 3 atoms:
1 Cd 0.0000 0.0000 0.0000  2 Te 2.94
2 Cd 0.5000 0.5000 0.5000  4 Te 2.92
3 Te 0.0000 0.0000 0.5000  6 Cd 2.92-2.94